Density functional theory data (PBE-GGA) for crystalline BaTcRh at its relaxed geometry.

Values from the calculation:
energy above the lowest structure with this stoichiometry: 0.156 eV/atom
Fermi-level density of states: 1.119 states/eV/atom
space-group type: Cmcm (63)
DFT formation energy: 0.2143 eV per atom
energy: -76.0 eV per cell
calculated volume: 23.56 Å³/atom

a = 12.074 Å, b = 5.193 Å, c = 4.509 Å
α = 90.00°, β = 90.00°, γ = 90.00°
Sites, in units of the cell vectors:
Rh  0.457  0.250  0.000
Rh  0.043  0.750  0.500
Rh  0.543  0.750  0.000
Rh  0.957  0.250  0.500
Ba  0.712  0.250  0.000
Ba  0.788  0.750  0.500
Ba  0.288  0.750  0.000
Ba  0.212  0.250  0.500
Tc  0.000  0.000  0.000
Tc  0.500  0.500  0.500
Tc  0.500  0.000  0.500
Tc  0.000  0.500  0.000

***

Density functional theory data (PBE-GGA) for crystalline Tm2NiBr2 at its relaxed geometry.

Values from the calculation:
formation energy from raw total energies: -110.2 kJ/mol of atoms
Fermi-level density of states: 0.317 states/eV/atom
space-group type: R-3m (166)
energy: -23.8 eV per cell
calculated volume: 27.80 Å³/atom

a = 3.830 Å, b = 3.830 Å, c = 11.161 Å
α = 80.12°, β = 80.12°, γ = 60.00°
Sites, in units of the cell vectors:
Tm  0.619  0.619  0.142
Tm  0.381  0.381  0.858
Ni  0.000  0.000  0.000
Br  0.227  0.227  0.319
Br  0.773  0.773  0.681

***

Density functional theory data (PBE-GGA) for crystalline YBeRe2 at its relaxed geometry.

Values from the calculation:
Fermi-level density of states: 0.865 states/eV/atom
space-group type: I4/mmm (139)
DFT formation energy: 0.5301 eV per atom
energy: -33.0 eV per cell
calculated volume: 16.73 Å³/atom

a = 5.312 Å, b = 5.312 Å, c = 5.312 Å
α = 137.79°, β = 137.79°, γ = 61.22°
Sites, in units of the cell vectors:
Y  0.250  0.750  0.500
Re  0.000  0.000  0.000
Re  0.500  0.500  0.000
Be  0.750  0.250  0.500

***

Density functional theory data (PBE-GGA) for crystalline Ho5P12Ru19 at its relaxed geometry.

Values from the calculation:
Fermi-level density of states: 0.612 states/eV/atom
space-group type: P-62m (189)
DFT formation energy: -0.8619 eV per atom
energy: -295.1 eV per cell
calculated volume: 14.98 Å³/atom

a = 12.515 Å, b = 12.515 Å, c = 3.975 Å
α = 90.00°, β = 90.00°, γ = 120.00°
Sites, in units of the cell vectors:
Ho  0.000  0.183  0.500
Ho  0.817  0.817  0.500
Ho  0.183  0.000  0.500
Ho  0.667  0.333  0.000
Ho  0.333  0.667  0.000
P  0.000  0.816  0.000
P  0.184  0.184  0.000
P  0.816  0.000  0.000
P  0.694  0.172  0.500
P  0.828  0.522  0.500
P  0.478  0.306  0.500
P  0.172  0.694  0.500
P  0.522  0.828  0.500
P  0.306  0.478  0.500
P  0.000  0.373  0.000
P  0.627  0.627  0.000
P  0.373  0.000  0.000
Ru  0.000  0.555  0.000
Ru  0.445  0.445  0.000
Ru  0.555  0.000  0.000
Ru  0.000  0.717  0.500
Ru  0.283  0.283  0.500
Ru  0.717  0.000  0.500
Ru  0.808  0.185  0.000
Ru  0.815  0.623  0.000
Ru  0.377  0.192  0.000
Ru  0.185  0.808  0.000
Ru  0.623  0.815  0.000
Ru  0.192  0.377  0.000
Ru  0.874  0.366  0.500
Ru  0.634  0.508  0.500
Ru  0.492  0.126  0.500
Ru  0.366  0.874  0.500
Ru  0.508  0.634  0.500
Ru  0.126  0.492  0.500
Ru  0.000  0.000  0.000

***

Density functional theory data (PBE-GGA) for crystalline La2MgTl at its relaxed geometry.

Values from the calculation:
energy above the lowest structure with this stoichiometry: 0.158 eV/atom
Fermi-level density of states: 0.969 states/eV/atom
space-group type: P4mm (99)
DFT formation energy: -0.1254 eV per atom
energy: -14.3 eV per cell
calculated volume: 31.15 Å³/atom

a = 3.667 Å, b = 3.667 Å, c = 9.264 Å
α = 90.00°, β = 90.00°, γ = 89.98°
Sites, in units of the cell vectors:
La  0.000  0.000  0.970
La  0.500  0.500  0.277
Mg  0.000  0.000  0.534
Tl  0.500  0.500  0.719

***

Density functional theory data (PBE-GGA) for crystalline Si2PIr at its relaxed geometry.

Values from the calculation:
energy above the lowest structure with this stoichiometry: 0.235 eV/atom
formation energy from raw total energies: -2.2 kJ/mol of atoms
Fermi-level density of states: 0.392 states/eV/atom
space-group type: Cm (8)
energy: -25.2 eV per cell
calculated volume: 15.56 Å³/atom

a = 3.923 Å, b = 3.923 Å, c = 6.181 Å
α = 67.96°, β = 67.96°, γ = 45.77°
Sites, in units of the cell vectors:
Ir  0.521  0.521  0.498
P  0.310  0.310  0.291
Si  0.932  0.932  0.969
Si  0.737  0.737  0.741

***

Density functional theory data (PBE-GGA) for crystalline KSrNi at its relaxed geometry.

Values from the calculation:
energy above the lowest structure with this stoichiometry: 0.447 eV/atom
Fermi-level density of states: 0.720 states/eV/atom
space-group type: P3m1 (156)
DFT formation energy: 0.4103 eV per atom
energy: -7.3 eV per cell
calculated volume: 41.01 Å³/atom

a = 4.359 Å, b = 4.359 Å, c = 7.475 Å
α = 90.00°, β = 90.00°, γ = 120.00°
Sites, in units of the cell vectors:
K  0.000  0.000  0.083
Ni  0.667  0.333  0.364
Sr  0.333  0.667  0.552

***

Density functional theory data (PBE-GGA) for crystalline K2La2Rh at its relaxed geometry.

Values from the calculation:
energy above the lowest structure with this stoichiometry: 0.939 eV/atom
Fermi-level density of states: 2.331 states/eV/atom
space-group type: I4/mmm (139)
DFT formation energy: 0.9443 eV per atom
energy: -14.7 eV per cell
calculated volume: 39.90 Å³/atom

a = 4.308 Å, b = 4.308 Å, c = 11.174 Å
α = 78.89°, β = 78.89°, γ = 90.00°
Sites, in units of the cell vectors:
K  0.421  0.421  0.157
K  0.579  0.579  0.843
Rh  0.000  0.000  0.000
La  0.750  0.250  0.500
La  0.250  0.750  0.500

***

Density functional theory data (PBE-GGA) for crystalline ThRh4 at its relaxed geometry.

Values from the calculation:
Fermi-level density of states: 1.617 states/eV/atom
space-group type: Pm-3m (221)
DFT formation energy: 1.1902 eV per atom
energy: -30.9 eV per cell
calculated volume: 23.80 Å³/atom

a = 4.919 Å, b = 4.919 Å, c = 4.919 Å
α = 90.00°, β = 90.00°, γ = 90.00°
Site moments in Bohr magnetons follow the coordinates.
Sites, in units of the cell vectors:
Rh  0.000  0.000  0.000  1.19
Rh  0.500  0.000  0.500  0.16
Rh  0.000  0.500  0.500  0.16
Rh  0.500  0.500  0.000  0.16
Th  0.500  0.500  0.500  -0.05

***

Density functional theory data (PBE-GGA) for crystalline Ba3Hg6Bi2Sb at its relaxed geometry.

Values from the calculation:
formation energy from raw total energies: -35.6 kJ/mol of atoms
Fermi-level density of states: 0.523 states/eV/atom
space-group type: P-3m1 (164)
energy: -23.9 eV per cell
calculated volume: 33.42 Å³/atom

a = 6.176 Å, b = 6.176 Å, c = 12.138 Å
α = 90.00°, β = 90.00°, γ = 120.00°
Sites, in units of the cell vectors:
Ba  0.333  0.667  0.597
Ba  0.667  0.333  0.403
Ba  0.000  0.000  0.000
Hg  0.661  0.830  0.254
Hg  0.170  0.339  0.254
Hg  0.170  0.830  0.254
Hg  0.830  0.661  0.746
Hg  0.339  0.170  0.746
Hg  0.830  0.170  0.746
Bi  0.667  0.333  0.103
Bi  0.333  0.667  0.897
Sb  0.000  0.000  0.500

***

Density functional theory data (PBE-GGA) for crystalline NdGdGeRh at its relaxed geometry.

Values from the calculation:
Fermi-level density of states: 0.683 states/eV/atom
space-group type: F-43m (216)
DFT formation energy: -0.6459 eV per atom
energy: -33.4 eV per cell
calculated volume: 23.00 Å³/atom

a = 5.067 Å, b = 5.067 Å, c = 5.067 Å
α = 60.00°, β = 60.00°, γ = 60.00°
Site moments in Bohr magnetons follow the coordinates.
Sites, in units of the cell vectors:
Rh  0.750  0.750  0.750  -0.04
Ge  0.250  0.250  0.250  -0.02
Gd  0.500  0.500  0.500  6.97
Nd  0.000  0.000  0.000  -0.01

***

Density functional theory data (PBE-GGA) for crystalline Sc4Tl2C at its relaxed geometry.

Values from the calculation:
energy above the lowest structure with this stoichiometry: 0.363 eV/atom
Fermi-level density of states: 0.678 states/eV/atom
space-group type: Cmmm (65)
DFT formation energy: -0.0267 eV per atom
energy: -39.5 eV per cell
calculated volume: 24.91 Å³/atom

a = 3.267 Å, b = 4.827 Å, c = 11.319 Å
α = 102.31°, β = 90.00°, γ = 90.00°
Site moments in Bohr magnetons follow the coordinates.
Sites, in units of the cell vectors:
Sc  0.500  0.565  0.131  0.02
Sc  0.000  0.701  0.402  0.20
Sc  0.500  0.435  0.869  0.02
Sc  0.000  0.299  0.598  0.20
Tl  0.500  0.162  0.325  0.00
Tl  0.500  0.838  0.675  0.00
C  0.000  0.500  0.000  -0.01